A relaxed structure of LiYZr. Source: Alexandria via LeMat-Bulk, functional PBE-GGA.

Geometry as POSCAR:
```
LiYZr
1.0
-0.086 -5.887 0.162
0.224 0.866 -3.233
7.693 -2.950 -0.260
Li Y Zr
2 2 2
Direct
0.451 0.585 0.510
0.683 0.201 0.655
0.094 0.906 0.362
0.384 0.552 0.982
0.760 0.239 0.147
0.014 0.867 0.814
```

Calculated values
Energy relative to the elements in kJ per mole of atoms: 15
Distance to the lowest polymorph of the same formula in meV/atom: 92
Total moment in μB/cell: 0.00
E_tot in eV per atom: -5.482


A relaxed structure of EuTcP. Source: Alexandria via LeMat-Bulk, functional PBE-GGA.

Geometry as POSCAR:
```
EuTcP
1.0
4.513 0.000 0.000
0.000 4.019 0.000
0.000 -2.009 3.480
P Eu Tc
1 1 1
Direct
0.167 0.000 0.000
0.667 0.667 0.333
0.167 0.333 0.667
```

Calculated values
Energy relative to the elements in kJ per mole of atoms: -51
Total moment in μB/cell: 6.83
E_tot in eV per atom: -9.215


A relaxed structure of K2RbLiI. Source: Alexandria via LeMat-Bulk, functional PBE-GGA.

Geometry as POSCAR:
```
K2RbLiI
1.0
7.282 0.000 0.000
0.000 7.282 0.000
0.000 0.000 5.672
Rb I K Li
1 1 2 1
Direct
0.500 0.500 0.500
0.000 0.000 0.000
0.500 0.000 0.000
0.000 0.500 0.000
0.000 0.000 0.500
```

Calculated values
Formation energy (no corrections) in eV per atom: -0.36
Total moment in μB/cell: 0.00
E_tot in eV per atom: -1.690